This record from Alexandria via LeMat-Bulk describes crystalline MgAg2Sb at its relaxed geometry. The functional is PBE-GGA.

Values from the calculation:
Formation energy (no corrections) in eV per atom: 0.025
N(E_F) in states/eV per atom: 0.44
Total moment in Bohr magnetons per cell: 0.00

Structure (CIF):
```
data_MgAg2Sb
_cell_length_a 4.3124
_cell_length_b 4.3124
_cell_length_c 19.3440
_cell_angle_alpha 90.00
_cell_angle_beta 90.00
_cell_angle_gamma 90.00
_space_group_name_H-M_alt 'I -4 2 d'
_space_group_IT_number 122
_space_group_name_Hall 'I -4 2bw'
loop_
_atom_site_label
_atom_site_type_symbol
_atom_site_fract_x
_atom_site_fract_y
_atom_site_fract_z
Mg1 Mg 0.0000 0.0000 0.0000
Ag1 Ag 0.2464 0.2500 0.1250
Sb1 Sb 0.0000 0.0000 0.5000
```